Version A
Entry from Alexandria via LeMat-Bulk: a geometry-optimized YCr2Ag structure (PBEsol).

Summary:
Magnetic moment = 0.000 μB/atom
Crystal system = orthorhombic

CIF file:
```
data_YCr2Ag
_chemical_formula_sum 'Y1 Cr2 Ag1'
_cell_length_a 3.349
_cell_length_b 4.705
_cell_length_c 4.788
_cell_angle_alpha 90.00
_cell_angle_beta 90.00
_cell_angle_gamma 90.00
_space_group_name_H-M_alt 'P m m m'
_space_group_IT_number 47
_space_group_name_Hall '-P 2 2'
loop_
_atom_site_label
_atom_site_type_symbol
_atom_site_fract_x
_atom_site_fract_y
_atom_site_fract_z
Y1 Y 0.000 0.000 0.000
Cr1 Cr 0.500 0.197 0.500
Ag1 Ag 0.500 0.500 0.000
```



Version B
Entry from Alexandria via LeMat-Bulk: a geometry-optimized YCr2Ag structure (PBEsol).

Summary:
Magnetic moment = 0.188 μB/atom
Crystal system = cubic

CIF file:
```
data_YCr2Ag
_chemical_formula_sum 'Y4 Cr8 Ag4'
_cell_length_a 6.594
_cell_length_b 6.594
_cell_length_c 6.594
_cell_angle_alpha 90.00
_cell_angle_beta 90.00
_cell_angle_gamma 90.00
_space_group_name_H-M_alt 'F -4 3 m'
_space_group_IT_number 216
_space_group_name_Hall 'F -4 2 3'
loop_
_atom_site_label
_atom_site_type_symbol
_atom_site_fract_x
_atom_site_fract_y
_atom_site_fract_z
Y1 Y 0.000 0.000 0.000
Cr1 Cr 0.000 0.000 0.500
Cr2 Cr 0.250 0.250 0.750
Ag1 Ag 0.250 0.250 0.250
```



Which of them is least stable? Easy: version A.



Version A
Entry from Alexandria via LeMat-Bulk: a geometry-optimized TlSi2Au structure (PBEsol).

Summary:
Magnetic moment = 0.000 μB/atom
Crystal system = monoclinic

CIF file:
```
data_TlSi2Au
_chemical_formula_sum 'Tl2 Si4 Au2'
_cell_length_a 6.577
_cell_length_b 3.801
_cell_length_c 6.788
_cell_angle_alpha 90.00
_cell_angle_beta 109.33
_cell_angle_gamma 90.00
_space_group_name_H-M_alt 'C 1 m 1'
_space_group_IT_number 8
_space_group_name_Hall 'C -2y'
loop_
_atom_site_label
_atom_site_type_symbol
_atom_site_fract_x
_atom_site_fract_y
_atom_site_fract_z
Tl1 Tl 0.000 0.000 0.000
Si1 Si 0.008 0.500 0.518
Si2 Si 0.226 0.000 0.669
Au1 Au 0.268 0.500 0.300
```



Version B
Entry from Alexandria via LeMat-Bulk: a geometry-optimized TlSi2Au structure (PBEsol).

Summary:
Magnetic moment = 0.000 μB/atom
Crystal system = tetragonal

CIF file:
```
data_TlSi2Au
_chemical_formula_sum 'Tl1 Si2 Au1'
_cell_length_a 4.026
_cell_length_b 4.026
_cell_length_c 4.678
_cell_angle_alpha 90.00
_cell_angle_beta 90.00
_cell_angle_gamma 90.00
_space_group_name_H-M_alt 'P 4/m m m'
_space_group_IT_number 123
_space_group_name_Hall '-P 4 2'
loop_
_atom_site_label
_atom_site_type_symbol
_atom_site_fract_x
_atom_site_fract_y
_atom_site_fract_z
Tl1 Tl 0.000 0.000 0.000
Si1 Si 0.000 0.500 0.500
Au1 Au 0.500 0.500 0.000
```



Which of them is least stable? Easy: version B.



Version A
Entry from Alexandria via LeMat-Bulk: a geometry-optimized Li2CdPb structure (PBEsol).

Summary:
Magnetic moment = 0.000 μB/atom
Crystal system = trigonal

CIF file:
```
data_Li2CdPb
_chemical_formula_sum 'Li6 Cd3 Pb3'
_cell_length_a 3.2386
_cell_length_b 3.2386
_cell_length_c 28.2166
_cell_angle_alpha 90.00
_cell_angle_beta 90.00
_cell_angle_gamma 120.00
_space_group_name_H-M_alt 'R -3 m'
_space_group_IT_number 166
_space_group_name_Hall '-R 3 2"'
loop_
_atom_site_label
_atom_site_type_symbol
_atom_site_fract_x
_atom_site_fract_y
_atom_site_fract_z
Li1 Li 0.0000 0.0000 0.2489
Cd1 Cd 0.0000 0.0000 0.5000
Pb1 Pb 0.0000 0.0000 0.0000
```



Version B
Entry from Alexandria via LeMat-Bulk: a geometry-optimized Li2CdPb structure (PBEsol).

Summary:
Magnetic moment = 0.000 μB/atom
Crystal system = tetragonal

CIF file:
```
data_Li2CdPb
_chemical_formula_sum 'Li2 Cd1 Pb1'
_cell_length_a 3.592
_cell_length_b 3.592
_cell_length_c 6.367
_cell_angle_alpha 90.00
_cell_angle_beta 90.00
_cell_angle_gamma 90.00
_space_group_name_H-M_alt 'P 4 m m'
_space_group_IT_number 99
_space_group_name_Hall 'P 4 -2'
loop_
_atom_site_label
_atom_site_type_symbol
_atom_site_fract_x
_atom_site_fract_y
_atom_site_fract_z
Li1 Li 0.000 0.000 0.000
Li2 Li 0.500 0.500 0.252
Cd1 Cd 0.500 0.500 0.795
Pb1 Pb 0.000 0.000 0.492
```



Which of them is least stable? Easy: version A.



Version A
Entry from Alexandria via LeMat-Bulk: a geometry-optimized Zr5Ag structure (PBEsol).

Summary:
Magnetic moment = 0.000 μB/atom
Crystal system = monoclinic

CIF file:
```
data_Zr5Ag
_chemical_formula_sum 'Zr10 Ag2'
_cell_length_a 11.293
_cell_length_b 3.115
_cell_length_c 7.487
_cell_angle_alpha 90.00
_cell_angle_beta 105.35
_cell_angle_gamma 90.00
_space_group_name_H-M_alt 'C 1 m 1'
_space_group_IT_number 8
_space_group_name_Hall 'C -2y'
loop_
_atom_site_label
_atom_site_type_symbol
_atom_site_fract_x
_atom_site_fract_y
_atom_site_fract_z
Zr1 Zr 0.000 0.000 0.000
Zr2 Zr 0.019 0.000 0.610
Zr3 Zr 0.162 0.500 0.358
Zr4 Zr 0.214 0.500 0.928
Zr5 Zr 0.377 0.000 0.265
Ag1 Ag 0.312 0.000 0.667
```



Version B
Entry from Alexandria via LeMat-Bulk: a geometry-optimized Zr5Ag structure (PBEsol).

Summary:
Magnetic moment = 0.000 μB/atom
Crystal system = orthorhombic

CIF file:
```
data_Zr5Ag
_chemical_formula_sum 'Zr10 Ag2'
_cell_length_a 4.403
_cell_length_b 13.359
_cell_length_c 4.281
_cell_angle_alpha 90.00
_cell_angle_beta 90.00
_cell_angle_gamma 90.00
_space_group_name_H-M_alt 'C m m m'
_space_group_IT_number 65
_space_group_name_Hall '-C 2 2'
loop_
_atom_site_label
_atom_site_type_symbol
_atom_site_fract_x
_atom_site_fract_y
_atom_site_fract_z
Zr1 Zr 0.000 0.000 0.000
Zr2 Zr 0.000 0.166 0.500
Zr3 Zr 0.000 0.337 0.000
Ag1 Ag 0.000 0.500 0.500
```



Which of them is least stable? Easy: version B.



Version A
Entry from Alexandria via LeMat-Bulk: a geometry-optimized Mo2IrOs structure (PBEsol).

Summary:
Magnetic moment = 0.000 μB/atom
Crystal system = tetragonal

CIF file:
```
data_Mo2IrOs
_chemical_formula_sum 'Mo4 Ir2 Os2'
_cell_length_a 3.874
_cell_length_b 3.874
_cell_length_c 7.755
_cell_angle_alpha 90.00
_cell_angle_beta 90.00
_cell_angle_gamma 90.00
_space_group_name_H-M_alt 'I 4/m m m'
_space_group_IT_number 139
_space_group_name_Hall '-I 4 2'
loop_
_atom_site_label
_atom_site_type_symbol
_atom_site_fract_x
_atom_site_fract_y
_atom_site_fract_z
Mo1 Mo 0.000 0.500 0.250
Ir1 Ir 0.000 0.000 0.000
Os1 Os 0.000 0.000 0.500
```



Version B
Entry from Alexandria via LeMat-Bulk: a geometry-optimized Mo2IrOs structure (PBEsol).

Summary:
Magnetic moment = 0.000 μB/atom
Crystal system = orthorhombic

CIF file:
```
data_Mo2IrOs
_chemical_formula_sum 'Mo2 Ir1 Os1'
_cell_length_a 2.734
_cell_length_b 3.883
_cell_length_c 5.485
_cell_angle_alpha 90.00
_cell_angle_beta 90.00
_cell_angle_gamma 90.00
_space_group_name_H-M_alt 'P m m m'
_space_group_IT_number 47
_space_group_name_Hall '-P 2 2'
loop_
_atom_site_label
_atom_site_type_symbol
_atom_site_fract_x
_atom_site_fract_y
_atom_site_fract_z
Mo1 Mo 0.000 0.000 0.247
Ir1 Ir 0.500 0.500 0.500
Os1 Os 0.500 0.500 0.000
```



Which of them is least stable? Easy: version B.



Version A
Entry from Alexandria via LeMat-Bulk: a geometry-optimized Pd structure (PBEsol).

Summary:
Magnetic moment = 0.293 μB/atom
Crystal system = hexagonal

CIF file:
```
data_Pd
_chemical_formula_sum 'Pd2'
_cell_length_a 2.7249
_cell_length_b 2.7249
_cell_length_c 4.5345
_cell_angle_alpha 90.00
_cell_angle_beta 90.00
_cell_angle_gamma 120.00
_space_group_name_H-M_alt 'P 63/m m c'
_space_group_IT_number 194
_space_group_name_Hall '-P 6c 2c'
loop_
_atom_site_label
_atom_site_type_symbol
_atom_site_fract_x
_atom_site_fract_y
_atom_site_fract_z
Pd1 Pd 0.3333 0.6667 0.2500
```



Version B
Entry from Alexandria via LeMat-Bulk: a geometry-optimized Pd structure (PBEsol).

Summary:
Magnetic moment = 0.271 μB/atom
Crystal system = trigonal

CIF file:
```
data_Pd
_chemical_formula_sum 'Pd9'
_cell_length_a 2.7288
_cell_length_b 2.7288
_cell_length_c 20.2909
_cell_angle_alpha 90.00
_cell_angle_beta 90.00
_cell_angle_gamma 120.00
_space_group_name_H-M_alt 'R -3 m'
_space_group_IT_number 166
_space_group_name_Hall '-R 3 2"'
loop_
_atom_site_label
_atom_site_type_symbol
_atom_site_fract_x
_atom_site_fract_y
_atom_site_fract_z
Pd1 Pd 0.0000 0.0000 0.0000
Pd2 Pd 0.0000 0.0000 0.2225
```



Which of them is least stable? Easy: version A.